ZnCu2Ag | OQMD via LeMat-Bulk | PBE-GGA | optimized geometry; symmetry = No. 38; calculated total energy = -2.87 eV per atom; formation enthalpy at 0 K = 0.008 eV per atom
1.0
-1.837 -1.310 3.733
4.621 -2.448 1.415
3.712 2.780 2.802
Ag Cu Zn
2 4 2
Cartesian
2.789 -1.827 3.279
2.333 0.794 3.975
6.896 0.275 3.490
5.149 -1.127 2.138
0.454 -0.600 2.561
4.688 1.519 2.840
2.716 0.108 1.375
4.633 -0.434 4.675

---

Zn2Cu3Ag3 | OQMD via LeMat-Bulk | PBE-GGA | optimized geometry; symmetry = No. 187; relative energy among the computed polymorphs = 1.1 kJ/mol of atoms; calculated total energy = -2.75 eV per atom; formation enthalpy at 0 K = 0.024 eV per atom
1.0
5.564 0.000 0.000
-2.782 4.818 0.000
0.000 0.000 4.424
Ag Zn Cu
3 2 3
Cartesian
1.400 0.808 0.000
4.164 0.808 0.000
2.782 3.202 0.000
0.000 0.000 2.212
0.000 3.212 0.000
-1.328 2.445 2.212
1.328 2.445 2.212
0.000 4.746 2.212

---

ZnCuAg2 | OQMD via LeMat-Bulk | PBE-GGA | optimized geometry; symmetry = No. 63; calculated total energy = -2.65 eV per atom; formation enthalpy at 0 K = 0.005 eV per atom
1.0
2.837 -4.829 0.000
2.837 4.829 0.000
0.000 0.000 4.546
Ag Cu Zn
4 2 2
Cartesian
4.263 0.853 1.136
1.411 -0.853 3.409
1.411 0.853 1.136
4.263 -0.853 3.409
2.837 -3.204 3.409
2.837 3.204 1.136
2.837 1.636 3.409
2.837 -1.636 1.136

---

ZnCuAg2 | OQMD via LeMat-Bulk | PBE-GGA | optimized geometry; symmetry = No. 38; calculated total energy = -2.64 eV per atom; formation enthalpy at 0 K = 0.015 eV per atom
1.0
4.530 0.000 0.000
0.000 2.822 4.884
0.000 -2.822 4.884
Zn Ag Cu
2 4 2
Cartesian
2.265 0.000 3.251
0.000 0.000 6.470
2.265 0.000 8.081
0.000 -1.391 4.108
0.000 0.000 1.631
0.000 1.391 4.108
2.265 -1.374 5.710
2.265 1.374 5.710

---

Zn6CuAg | OQMD via LeMat-Bulk | PBE-GGA | optimized geometry; symmetry = No. 187; calculated total energy = -1.81 eV per atom; formation enthalpy at 0 K = -0.046 eV per atom
1.0
5.558 0.000 0.000
-2.779 4.813 0.000
0.000 0.000 4.342
Zn Ag Cu
6 1 1
Cartesian
1.351 0.780 2.171
2.779 0.038 0.000
4.207 0.780 2.171
4.136 2.388 0.000
1.422 2.388 0.000
2.779 3.253 2.171
0.000 3.209 2.171
0.000 0.000 0.000

---

Zn2Cu3Ag3 | OQMD via LeMat-Bulk | PBE-GGA | optimized geometry; symmetry = No. 38; relative energy among the computed polymorphs = 0.7 kJ/mol of atoms; calculated total energy = -2.75 eV per atom; formation enthalpy at 0 K = 0.019 eV per atom
1.0
4.473 0.000 0.000
0.000 2.790 4.758
0.000 -2.790 4.758
Ag Zn Cu
3 2 3
Cartesian
2.237 -1.371 4.007
2.237 1.371 4.007
0.000 0.000 7.880
2.237 0.000 6.312
0.000 0.000 3.085
2.237 0.000 1.577
0.000 -1.448 5.600
0.000 1.448 5.600

---

Zn6CuAg | OQMD via LeMat-Bulk | PBE-GGA | optimized geometry; symmetry = No. 25; calculated total energy = -1.81 eV per atom; formation enthalpy at 0 K = -0.048 eV per atom
1.0
-4.287 0.651 -0.039
-0.511 -3.606 -4.096
-0.567 -3.544 3.192
Zn Ag Cu
6 1 1
Cartesian
-2.754 -3.596 1.585
-0.228 -1.531 -0.518
-2.997 -5.310 -0.361
-2.327 -0.823 1.015
-0.624 -4.109 0.029
-0.475 -3.275 -2.498
-0.380 -2.376 2.140
-2.590 -2.674 -0.990

---

ZnCu2Ag | OQMD via LeMat-Bulk | PBE-GGA | optimized geometry; symmetry = No. 40; calculated total energy = -2.88 eV per atom; formation enthalpy at 0 K = 0.005 eV per atom
1.0
4.398 0.000 0.000
0.000 4.706 2.709
0.000 -4.706 2.709
Cu Zn Ag
4 2 2
Cartesian
3.298 -0.768 1.343
1.099 3.153 2.764
3.298 -3.153 2.764
1.099 0.768 1.343
1.099 -1.570 2.659
3.298 1.570 2.659
1.099 0.836 4.070
3.298 -0.836 4.070

---

ZnCuAg2 | OQMD via LeMat-Bulk | PBE-GGA | optimized geometry; symmetry = No. 40; calculated total energy = -2.65 eV per atom; formation enthalpy at 0 K = 0.012 eV per atom
1.0
4.552 0.000 0.000
0.000 4.900 2.800
0.000 -4.900 2.800
Ag Zn Cu
4 2 2
Cartesian
1.138 0.830 1.429
3.414 -0.830 1.429
3.414 -3.271 2.751
1.138 3.271 2.751
1.138 -1.599 2.847
3.414 1.599 2.847
3.414 -0.766 4.174
1.138 0.766 4.174

---

Zn2CuAg | OQMD via LeMat-Bulk | PBE-GGA | optimized geometry; symmetry = No. 216; calculated total energy = -2.27 eV per atom; formation enthalpy at 0 K = -0.003 eV per atom
1.0
-1.866 -3.710 -1.351
-3.949 0.094 -1.862
-0.420 -0.804 -4.272
Zn Ag Cu
2 1 1
Cartesian
-4.676 -3.315 -5.613
0.000 0.000 0.000
-3.118 -2.210 -3.742
-1.559 -1.105 -1.871

---

Zn2Cu5Ag | OQMD via LeMat-Bulk | PBE-GGA | optimized geometry; symmetry = No. 38; calculated total energy = -3.02 eV per atom; formation enthalpy at 0 K = -0.023 eV per atom
1.0
4.299 0.000 0.000
0.000 2.659 4.599
0.000 -2.659 4.599
Cu Ag Zn
5 1 2
Cartesian
2.150 0.000 7.681
2.150 -1.291 5.330
0.000 1.345 3.833
2.150 1.291 5.330
0.000 -1.345 3.833
0.000 0.000 1.523
0.000 0.000 6.137
2.150 0.000 3.122

---

Zn2Cu3Ag3 | OQMD via LeMat-Bulk | PBE-GGA | optimized geometry; symmetry = No. 6; relative energy among the computed polymorphs = 0.0 kJ/mol of atoms; calculated total energy = -2.76 eV per atom; formation enthalpy at 0 K = 0.012 eV per atom
1.0
5.509 0.000 0.000
0.000 4.451 0.000
-2.709 0.000 4.810
Zn Cu Ag
2 3 3
Cartesian
0.000 2.226 3.166
2.813 0.000 1.590
-1.317 0.000 3.987
-0.043 0.000 1.624
4.171 2.226 0.841
2.829 2.226 3.184
1.374 0.000 4.049
1.375 2.226 0.800

---

Among the records above, which one has the highest formation enthalpy at 0 K? number 2

---

Look up the formation enthalpy at 0 K of the tenth one. -0.003 eV per atom